(1)
# Ac4RhNCl2, optimized geometry, DFT PBE-GGA
data_Ac4RhNCl2
_chemical_formula_sum 'Ac4 Rh1 N1 Cl2'
_cell_length_a 7.2910
_cell_length_b 4.0281
_cell_length_c 8.3281
_cell_angle_alpha 90.00
_cell_angle_beta 108.95
_cell_angle_gamma 90.00
_space_group_name_H-M_alt 'P 1 2/m 1'
_space_group_IT_number 10
_space_group_name_Hall '-P 2y'
loop_
_atom_site_label
_atom_site_type_symbol
_atom_site_fract_x
_atom_site_fract_y
_atom_site_fract_z
_atom_site_occupancy
Ac1 Ac 0.2151 0.0000 0.1970 1
Ac2 Ac 0.2409 0.5000 0.8033 1
Rh1 Rh 0.5000 0.0000 0.0000 1
N1 N 0.0000 0.5000 0.0000 1
Cl1 Cl 0.0000 0.0000 0.5000 1
Cl2 Cl 0.5000 0.5000 0.5000 1
# mass density = 7866 kg/m³
# DOS(E_F) = 0.7052 states/eV/atom
# formation energy without anion corrections = -1218 meV/atom
# magnetic moment = 0.0 μB per formula unit

---

(2)
# CaLaGe4, optimized geometry, DFT PBE-GGA
data_CaLaGe4
_chemical_formula_sum 'Ca4 La4 Ge16'
_cell_length_a 8.9212
_cell_length_b 15.2829
_cell_length_c 4.3472
_cell_angle_alpha 90.00
_cell_angle_beta 90.00
_cell_angle_gamma 90.00
_space_group_name_H-M_alt 'P b a m'
_space_group_IT_number 55
_space_group_name_Hall '-P 2 2ab'
loop_
_atom_site_label
_atom_site_type_symbol
_atom_site_fract_x
_atom_site_fract_y
_atom_site_fract_z
_atom_site_occupancy
Ca1 Ca 0.1432 0.0859 0.0000 1
La1 La 0.1284 0.3660 0.0000 1
Ge1 Ge 0.0633 0.2128 0.5000 1
Ge2 Ge 0.1090 0.9325 0.5000 1
Ge3 Ge 0.1282 0.5292 0.5000 1
Ge4 Ge 0.1594 0.6926 0.5000 1
# mass density = 5262 kg/m³
# distance to the lowest polymorph of the same formula = 0.000 eV/atom
# DOS(E_F) = 0.6485 states/eV/atom
# energy of formation from the pure elements = -0.431 eV/atom
# magnetic moment = 0.0 μB per formula unit

---

(3)
# Rb2CoCuN, optimized geometry, DFT PBE-GGA
data_Rb2CoCuN
_chemical_formula_sum 'Rb2 Co1 Cu1 N1'
_cell_length_a 6.4252
_cell_length_b 6.4252
_cell_length_c 3.4328
_cell_angle_alpha 90.00
_cell_angle_beta 90.00
_cell_angle_gamma 90.00
_space_group_name_H-M_alt 'P 4/m m m'
_space_group_IT_number 123
_space_group_name_Hall '-P 4 2'
loop_
_atom_site_label
_atom_site_type_symbol
_atom_site_fract_x
_atom_site_fract_y
_atom_site_fract_z
_atom_site_occupancy
Rb1 Rb 0.0000 0.5000 0.0000 1
Co1 Co 0.0000 0.0000 0.0000 1
Cu1 Cu 0.5000 0.5000 0.5000 1
N1 N 0.0000 0.0000 0.5000 1
# mass density = 3602 kg/m³
# DOS(E_F) = 1.0314 states/eV/atom
# formation energy without anion corrections = 433 meV/atom
# magnetic moment = 0.4 μB per formula unit

---

- What is the formula in the first record?
  Ac4RhNCl2